(1)
Below is an optimized crystal structure of Li2Tl2Pd, with properties calculated at the PBE level.

Cell: 7.513 7.513 3.393 Å, 90.00 90.00 90.00°
Element x y z (fractional)
Li 0.155 0.345 0.000
Li 0.345 0.845 0.000
Li 0.655 0.155 0.000
Li 0.845 0.655 0.000
Tl 0.149 0.649 0.500
Tl 0.351 0.149 0.500
Tl 0.649 0.851 0.500
Tl 0.851 0.351 0.500
Pd 0.000 0.000 0.500
Pd 0.500 0.500 0.500

Computed properties:
Formation energy (eV/atom): -0.1596
Total energy (eV/atom): -2.910
Energy relative to the lowest polymorph listed for this composition (meV per atom): 119.0
N(E_F) (states/eV per cell): 3.1
Space-group type: P4/mbm

***

(2)
Below is an optimized crystal structure of Na2BO, with properties calculated at the PBE level.

Cell: 4.315 4.315 4.315 Å, 60.00 60.00 60.00°
Element x y z (fractional)
Na 0.250 0.250 0.250
Na 0.750 0.750 0.750
B 0.000 0.000 0.000
O 0.500 0.500 0.500

Computed properties:
Total energy (eV/atom): -3.060
Energy relative to the lowest polymorph listed for this composition (meV per atom): 575.5
Raw formation energy (eV/atom): 0.508
N(E_F) (states/eV per cell): 2.3
Space-group type: Fm-3m

***

(3)
Below is an optimized crystal structure of HoSiNi4, with properties calculated at the PBE level.

Cell: 4.800 4.800 3.946 Å, 90.00 90.00 116.53°
Element x y z (fractional)
Ho 0.000 0.000 0.000
Si 0.500 0.500 0.500
Ni 0.000 0.500 0.500
Ni 0.342 0.658 0.000
Ni 0.500 0.000 0.500
Ni 0.658 0.342 0.000

Computed properties:
Total energy (eV/atom): -6.142
Energy relative to the lowest polymorph listed for this composition (meV per atom): 0.0
Raw formation energy (eV/atom): -0.621
N(E_F) (states/eV per cell): 3.7
Space-group type: Cmmm

***

(4)
Below is an optimized crystal structure of KCdSnP2, with properties calculated at the PBE level.

Cell: 7.159 7.159 9.267 Å, 99.28 99.28 39.95°
Element x y z (fractional)
K 0.158 0.158 0.166
K 0.842 0.842 0.834
Cd 0.167 0.167 0.563
Cd 0.833 0.833 0.437
Sn 0.446 0.446 0.295
Sn 0.554 0.554 0.705
P 0.100 0.100 0.811
P 0.370 0.370 0.556
P 0.630 0.630 0.444
P 0.900 0.900 0.189

Computed properties:
Formation energy (eV/atom): -0.1389
Total energy (eV/atom): -3.506
N(E_F) (states/eV per cell): 2.4
Space-group type: C2/m

***

(5)
Below is an optimized crystal structure of BaBiAsBr2, with properties calculated at the PBE level.

Cell: 5.808 5.808 5.546 Å, 90.00 90.00 90.00°
Element x y z (fractional)
Ba 0.000 0.000 0.000
Bi 0.500 0.500 0.500
As 0.500 0.500 0.000
Br 0.000 0.500 0.500
Br 0.500 0.000 0.500

Computed properties:
Total energy (eV/atom): -3.442
Energy relative to the lowest polymorph listed for this composition (meV per atom): 0.0
Raw formation energy (eV/atom): -0.682
N(E_F) (states/eV per cell): 1.0
Space-group type: P4/mmm

***

(6)
Below is an optimized crystal structure of TlAg3Ge, with properties calculated at the PBE level.

Cell: 4.998 4.998 4.998 Å, 90.00 90.00 90.00°
Element x y z (fractional)
Tl 0.000 0.000 0.000
Ag 0.000 0.500 0.500
Ag 0.500 0.000 0.500
Ag 0.500 0.500 0.000
Ge 0.500 0.500 0.500

Computed properties:
Formation energy (eV/atom): 0.2409
Total energy (eV/atom): -2.867
Energy relative to the lowest polymorph listed for this composition (meV per atom): 0.0
N(E_F) (states/eV per cell): 0.7
Space-group type: Pm-3m

***

(7)
Below is an optimized crystal structure of LaOs3Pb, with properties calculated at the PBE level.

Cell: 4.982 4.982 4.982 Å, 90.00 90.00 90.00°
Element x y z (fractional)
La 0.000 0.000 0.000
Os 0.000 0.500 0.500
Os 0.500 0.000 0.500
Os 0.500 0.500 0.000
Pb 0.500 0.500 0.500

Computed properties:
Formation energy (eV/atom): 1.9826
Total energy (eV/atom): -6.482
Energy relative to the lowest polymorph listed for this composition (meV per atom): 0.0
N(E_F) (states/eV per cell): 6.4
Space-group type: Pm-3m

***

(8)
Below is an optimized crystal structure of Tl2CrCo, with properties calculated at the PBE level.

Cell: 8.634 8.634 8.634 Å, 21.81 21.81 21.81°
Element x y z (fractional)
Tl 0.244 0.244 0.244
Tl 0.756 0.756 0.756
Cr 0.000 0.000 0.000
Co 0.500 0.500 0.500

Computed properties:
Formation energy (eV/atom): 0.7017
Total energy (eV/atom): -4.664
Energy relative to the lowest polymorph listed for this composition (meV per atom): 189.4
N(E_F) (states/eV per cell): 2.9
Space-group type: R-3m

***

(9)
Below is an optimized crystal structure of BaGaAg2O4, with properties calculated at the PBE level.

Cell: 5.491 5.491 5.491 Å, 115.45 112.89 100.44°
Element x y z (fractional)
Ba 0.000 0.000 0.000
Ga 0.500 0.500 0.000
Ag 0.290 0.790 0.500
Ag 0.710 0.210 0.500
O 0.162 0.157 0.637
O 0.480 0.843 0.004
O 0.520 0.524 0.363
O 0.838 0.476 0.996

Computed properties:
Total energy (eV/atom): -5.100
Raw formation energy (eV/atom): -1.289
N(E_F) (states/eV per cell): 4.0
Space-group type: I222

***

(10)
Below is an optimized crystal structure of SrCaGe2Sb, with properties calculated at the PBE level.

Cell: 5.548 5.548 5.913 Å, 90.00 90.00 90.00°
Element x y z (fractional)
Sr 0.000 0.000 0.000
Ca 0.500 0.500 0.000
Ge 0.000 0.500 0.500
Ge 0.500 0.000 0.500
Sb 0.000 0.000 0.500

Computed properties:
Total energy (eV/atom): -3.152
Raw formation energy (eV/atom): 0.256
N(E_F) (states/eV per cell): 3.4
Space-group type: P4/mmm

***

(11)
Below is an optimized crystal structure of ScZnOs, with properties calculated at the PBE level.

Cell: 13.529 13.529 13.529 Å, 21.95 21.95 21.95°
Element x y z (fractional)
Sc 0.040 0.040 0.040
Sc 0.178 0.178 0.178
Sc 0.269 0.269 0.269
Sc 0.731 0.731 0.731
Sc 0.822 0.822 0.822
Sc 0.960 0.960 0.960
Zn 0.222 0.723 0.723
Zn 0.277 0.277 0.778
Zn 0.277 0.778 0.277
Zn 0.723 0.222 0.723
Zn 0.723 0.723 0.222
Zn 0.778 0.277 0.277
Os 0.000 0.500 0.500
Os 0.389 0.389 0.389
Os 0.500 0.000 0.500
Os 0.500 0.500 0.000
Os 0.500 0.500 0.500
Os 0.611 0.611 0.611

Computed properties:
Formation energy (eV/atom): -0.3445
Total energy (eV/atom): -6.623
N(E_F) (states/eV per cell): 11.5
Space-group type: R-3m

***

(12)
Below is an optimized crystal structure of YTa2Cu, with properties calculated at the PBE level.

Cell: 2.964 2.964 8.656 Å, 90.00 90.00 90.00°
Element x y z (fractional)
Y 0.000 0.000 0.000
Ta 0.500 0.500 0.295
Ta 0.500 0.500 0.705
Cu 0.000 0.000 0.500

Computed properties:
Formation energy (eV/atom): 0.3319
Total energy (eV/atom): -8.234
Energy relative to the lowest polymorph listed for this composition (meV per atom): 146.6
N(E_F) (states/eV per cell): 3.4
Space-group type: P4/mmm

***

(13)
Below is an optimized crystal structure of CeNdTe, with properties calculated at the PBE level.

Cell: 6.497 6.497 6.497 Å, 144.07 144.07 51.72°
Element x y z (fractional)
Ce 0.000 0.000 0.000
Nd 0.298 0.298 0.000
Te 0.650 0.650 0.000

Computed properties:
Total energy (eV/atom): -5.294
Energy relative to the lowest polymorph listed for this composition (meV per atom): 261.8
Raw formation energy (eV/atom): -0.679
N(E_F) (states/eV per cell): 7.9
Space-group type: I4mm

***

(14)
Below is an optimized crystal structure of GeP3O9, with properties calculated at the PBE level.

Cell: 7.512 7.512 9.646 Å, 123.17 123.17 52.42°
Element x y z (fractional)
Ge 0.238 0.762 0.500
Ge 0.762 0.238 0.000
P 0.039 0.237 0.823
P 0.237 0.039 0.323
P 0.267 0.443 0.669
P 0.443 0.267 0.169
P 0.670 0.807 0.227
P 0.807 0.670 0.727
O 0.072 0.179 0.197
O 0.143 0.919 0.333
O 0.179 0.072 0.697
O 0.202 0.335 0.011
O 0.296 0.621 0.664
O 0.335 0.202 0.511
O 0.383 0.405 0.336
O 0.405 0.383 0.836
O 0.473 0.841 0.273
O 0.526 0.989 0.120
O 0.565 0.742 0.593
O 0.621 0.296 0.164
O 0.742 0.565 0.093
O 0.841 0.473 0.773
O 0.855 0.866 0.394
O 0.866 0.855 0.894
O 0.919 0.143 0.833
O 0.989 0.526 0.620

Computed properties:
Total energy (eV/atom): -6.913
Raw formation energy (eV/atom): -1.877
N(E_F) (states/eV per cell): 5.2
Space-group type: Cc

***

(15)
Below is an optimized crystal structure of AlGaSb, with properties calculated at the PBE level.

Cell: 4.455 4.455 9.770 Å, 103.32 103.32 61.07°
Element x y z (fractional)
Al 0.036 0.036 0.137
Al 0.964 0.964 0.863
Ga 0.255 0.370 0.498
Ga 0.630 0.745 0.502
Sb 0.409 0.410 0.238
Sb 0.590 0.591 0.762

Computed properties:
Total energy (eV/atom): -3.622
Energy relative to the lowest polymorph listed for this composition (meV per atom): 0.0
Raw formation energy (eV/atom): 0.009
N(E_F) (states/eV per cell): 0.2
Space-group type: C2

***

(16)
Below is an optimized crystal structure of CoAs2Os, with properties calculated at the PBE level.

Cell: 7.646 7.646 7.646 Å, 22.49 22.49 22.49°
Element x y z (fractional)
Co 0.000 0.000 0.000
As 0.254 0.254 0.254
As 0.746 0.746 0.746
Os 0.500 0.500 0.500

Computed properties:
Formation energy (eV/atom): 0.2086
Total energy (eV/atom): -6.700
Energy relative to the lowest polymorph listed for this composition (meV per atom): 119.3
N(E_F) (states/eV per cell): 4.1
Space-group type: R-3m

***

(17)
Below is an optimized crystal structure of H3AuCl, with properties calculated at the PBE level.

Cell: 3.740 3.740 3.740 Å, 90.00 90.00 90.00°
Element x y z (fractional)
H 0.000 0.000 0.500
H 0.000 0.500 0.000
H 0.500 0.000 0.000
Au 0.000 0.000 0.000
Cl 0.500 0.500 0.500

Computed properties:
Total energy (eV/atom): -2.529
Energy relative to the lowest polymorph listed for this composition (meV per atom): 0.0
N(E_F) (states/eV per cell): 2.2
Space-group type: Pm-3m

***

(18)
Below is an optimized crystal structure of TbHF, with properties calculated at the PBE level.

Cell: 3.851 3.851 3.851 Å, 60.00 60.00 60.00°
Element x y z (fractional)
Tb 0.000 0.000 0.000
H 0.250 0.250 0.250
F 0.750 0.750 0.750

Computed properties:
Total energy (eV/atom): -5.237
N(E_F) (states/eV per cell): 1.8
Space-group type: F-43m

***

(19)
Below is an optimized crystal structure of BaTl16Hg12, with properties calculated at the PBE level.

Cell: 10.389 10.389 9.790 Å, 107.40 107.40 108.22°
Element x y z (fractional)
Ba 0.000 0.000 0.000
Tl 0.187 0.587 0.576
Tl 0.208 0.887 0.279
Tl 0.259 0.259 0.920
Tl 0.264 0.264 0.544
Tl 0.275 0.854 0.945
Tl 0.303 0.984 0.670
Tl 0.572 0.572 0.618
Tl 0.581 0.581 0.259
Tl 0.585 0.896 0.857
Tl 0.587 0.187 0.576
Tl 0.587 0.934 0.258
Tl 0.854 0.275 0.945
Tl 0.887 0.208 0.279
Tl 0.896 0.585 0.857
Tl 0.934 0.587 0.258
Tl 0.984 0.303 0.670
Hg 0.196 0.571 0.062
Hg 0.207 0.393 0.261
Hg 0.393 0.207 0.261
Hg 0.396 0.583 0.887
Hg 0.417 0.757 0.445
Hg 0.571 0.196 0.062
Hg 0.583 0.396 0.887
Hg 0.753 0.753 0.080
Hg 0.757 0.417 0.445
Hg 0.769 0.959 0.622
Hg 0.959 0.769 0.622
Hg 0.969 0.969 0.431

Computed properties:
Formation energy (eV/atom): -0.0493
Total energy (eV/atom): -1.546
N(E_F) (states/eV per cell): 13.4
Space-group type: Cm

***

(20)
Below is an optimized crystal structure of Nd3SmEr4, with properties calculated at the PBE level.

Cell: 11.496 7.309 6.284 Å, 90.00 90.00 90.00°
Element x y z (fractional)
Nd 0.000 0.128 0.000
Nd 0.250 0.128 0.337
Nd 0.250 0.872 0.837
Nd 0.500 0.872 0.500
Nd 0.750 0.128 0.337
Nd 0.750 0.872 0.837
Sm 0.000 0.871 0.500
Sm 0.500 0.129 0.000
Er 0.000 0.379 0.501
Er 0.000 0.621 0.002
Er 0.250 0.380 0.835
Er 0.250 0.620 0.335
Er 0.500 0.379 0.502
Er 0.500 0.621 0.001
Er 0.750 0.380 0.835
Er 0.750 0.620 0.335

Computed properties:
Formation energy (eV/atom): 0.0260
Total energy (eV/atom): -4.633
Energy relative to the lowest polymorph listed for this composition (meV per atom): 0.0
N(E_F) (states/eV per cell): 29.7
Space-group type: Pmn2_1

***

(21)
Below is an optimized crystal structure of Zr2PaTc2, with properties calculated at the PBE level.

Cell: 9.732 9.732 3.287 Å, 90.00 90.00 160.34°
Element x y z (fractional)
Zr 0.175 0.825 0.000
Zr 0.825 0.175 0.000
Pa 0.000 0.000 0.000
Tc 0.406 0.594 0.500
Tc 0.594 0.406 0.500

Computed properties:
Formation energy (eV/atom): -0.1021
Total energy (eV/atom): -9.567
N(E_F) (states/eV per cell): 4.6
Space-group type: Cmmm

***

(22)
Below is an optimized crystal structure of KInSnAu3, with properties calculated at the PBE level.

Cell: 8.169 8.169 6.119 Å, 90.00 90.00 113.88°
Element x y z (fractional)
K 0.230 0.770 0.750
K 0.770 0.230 0.250
In 0.057 0.943 0.250
In 0.943 0.057 0.750
Sn 0.450 0.550 0.250
Sn 0.550 0.450 0.750
Au 0.248 0.248 0.000
Au 0.248 0.248 0.500
Au 0.254 0.746 0.250
Au 0.746 0.254 0.750
Au 0.752 0.752 0.000
Au 0.752 0.752 0.500

Computed properties:
Formation energy (eV/atom): -0.1899
Total energy (eV/atom): -3.135
N(E_F) (states/eV per cell): 4.3
Space-group type: Cmcm

***

(23)
Below is an optimized crystal structure of CaCdSeN2, with properties calculated at the PBE level.

Cell: 4.322 4.322 5.692 Å, 90.00 90.00 90.00°
Element x y z (fractional)
Ca 0.000 0.000 0.000
Cd 0.500 0.500 0.500
Se 0.500 0.500 0.000
N 0.000 0.500 0.500
N 0.500 0.000 0.500

Computed properties:
Total energy (eV/atom): -3.829
Energy relative to the lowest polymorph listed for this composition (meV per atom): 0.0
Raw formation energy (eV/atom): 0.781
N(E_F) (states/eV per cell): 2.1
Space-group type: P4/mmm

***

(24)
Below is an optimized crystal structure of OsRhI2N, with properties calculated at the PBE level.

Cell: 5.486 5.486 3.689 Å, 90.00 90.00 90.00°
Element x y z (fractional)
Os 0.000 0.000 0.000
Rh 0.500 0.500 0.500
I 0.000 0.500 0.000
I 0.500 0.000 0.000
N 0.000 0.000 0.500

Computed properties:
Total energy (eV/atom): -5.125
Energy relative to the lowest polymorph listed for this composition (meV per atom): 0.0
Raw formation energy (eV/atom): 0.876
N(E_F) (states/eV per cell): 4.4
Space-group type: P4/mmm